# 1
The following is a DFT calculation (GGA-PBE) of crystalline BaYCdN2 at its relaxed geometry.

Summary:
The calculation puts the total moment at 0.49 Bohr magnetons per cell. The space-group type is P4/mmm, No. 123. The value obtained for the raw total energy is -3.861 eV/atom.

abc: 4.7112 5.7720 4.7112
angles: 90.00 90.00 90.00
Site moments in Bohr magnetons follow the coordinates.
Fractional coordinates of all 5 atoms:
Cd: 0.0000 0.5000 0.0000  0.03
N: 0.5000 0.0000 0.0000  0.06
Y: 0.5000 0.5000 0.5000  0.15
Ba: 0.0000 0.0000 0.0000  0.00
N: 0.0000 0.0000 0.5000  0.05

# 2
The following is a DFT calculation (GGA-PBE) of crystalline BaY2CdN at its relaxed geometry.

Summary:
The calculation puts the total moment at 0.00 Bohr magnetons per cell. The space-group type is P4/mmm, No. 123. The value obtained for the raw total energy is -5.347 eV/atom.

abc: 4.8651 4.8651 5.6422
angles: 90.00 90.00 90.00
Fractional coordinates of all 5 atoms:
Cd: 0.5000 0.5000 0.5000
Ba: 0.0000 0.0000 0.5000
N: 0.0000 0.0000 0.0000
Y: 0.5000 0.0000 0.0000
Y: 0.0000 0.5000 0.0000

# 3
The following is a DFT calculation (GGA-PBE) of crystalline BaYCd2N at its relaxed geometry.

Summary:
The calculation puts the total moment at 0.31 Bohr magnetons per cell. The space-group type is P4/mmm, No. 123. The value obtained for the raw total energy is -2.089 eV/atom.

abc: 5.6531 7.1546 5.6531
angles: 90.00 90.00 90.00
Site moments in Bohr magnetons follow the coordinates.
Fractional coordinates of all 5 atoms:
Y: 0.0000 0.0000 0.0000  0.11
Cd: 0.5000 0.0000 0.0000  0.01
N: 0.5000 0.5000 0.5000  0.01
Ba: 0.0000 0.5000 0.0000  0.04
Cd: 0.0000 0.0000 0.5000  0.00

# 4
The following is a DFT calculation (GGA-PBE) of crystalline Ba6NaCd at its relaxed geometry.

Summary:
The calculation puts the total moment at 0.03 Bohr magnetons per cell. The space-group type is P-1, No. 2. The value obtained for the raw total energy is -1.646 eV/atom.

abc: 8.4619 8.4860 9.3082
angles: 62.96 63.11 60.03
Fractional coordinates of all 8 atoms:
Cd: 0.0000 0.0000 0.0000
Ba: 0.2360 0.9517 0.2423
Ba: 0.0494 0.4282 0.7575
Na: 0.5000 0.5000 0.5000
Ba: 0.9506 0.5718 0.2425
Ba: 0.7640 0.0483 0.7577
Ba: 0.4275 0.7644 0.7578
Ba: 0.5725 0.2356 0.2422

# 5
The following is a DFT calculation (GGA-PBE) of crystalline BaNaCd at its relaxed geometry.

Summary:
The calculation puts the total moment at 0.00 Bohr magnetons per cell. The space-group type is I4mm, No. 107. The value obtained for the raw total energy is -1.523 eV/atom. The calculation puts the energy above the lowest structure with this stoichiometry at 36 meV per atom.

abc: 4.2946 4.2946 6.7677
angles: 108.50 108.50 90.00
Fractional coordinates of all 3 atoms:
Cd: 0.9368 0.9368 0.8735
Ba: 0.6035 0.6035 0.2071
Na: 0.3097 0.3097 0.6194

# 6
The following is a DFT calculation (GGA-PBE) of crystalline BaNa4Cd at its relaxed geometry.

Summary:
The calculation puts the total moment at 0.00 Bohr magnetons per cell. The space-group type is Pmma, No. 51. The value obtained for the raw total energy is -1.395 eV/atom. The calculation puts the energy above the lowest structure with this stoichiometry at 0 meV per atom.

abc: 5.0660 9.1923 9.9278
angles: 90.00 90.00 90.00
Fractional coordinates of all 12 atoms:
Na: 0.5000 0.3025 0.5602
Na: 0.5000 0.6975 0.4398
Na: 0.5000 0.6975 0.0602
Na: 0.5000 0.9622 0.7500
Cd: 0.0000 0.2148 0.7500
Na: 0.0000 0.0000 0.5000
Ba: 0.0000 0.4022 0.2500
Ba: 0.0000 0.5978 0.7500
Cd: 0.0000 0.7852 0.2500
Na: 0.5000 0.3025 0.9398
Na: 0.5000 0.0378 0.2500
Na: 0.0000 0.0000 0.0000

# 7
The following is a DFT calculation (GGA-PBE) of crystalline BaNaCd at its relaxed geometry.

Summary:
The calculation puts the total moment at 0.00 Bohr magnetons per cell. The space-group type is P-6m2, No. 187. The value obtained for the raw total energy is -1.521 eV/atom. The calculation puts the energy above the lowest structure with this stoichiometry at 37 meV per atom.

abc: 4.3913 5.5244 5.5244
angles: 120.00 90.00 90.00
Fractional coordinates of all 3 atoms:
Cd: 0.1668 0.3333 0.6667
Na: 0.1665 0.0000 0.0000
Ba: 0.6667 0.6667 0.3333

# 8
The following is a DFT calculation (GGA-PBE) of crystalline BaNaCd11 at its relaxed geometry.

Summary:
The calculation puts the total moment at 0.00 Bohr magnetons per cell. The space-group type is C2/m, No. 12. The value obtained for the raw total energy is -1.149 eV/atom.

abc: 6.1205 7.9795 7.8472
angles: 81.16 67.05 66.79
Fractional coordinates of all 13 atoms:
Ba: 0.0000 0.0000 0.0000
Cd: 0.0000 0.5000 0.0000
Cd: 0.0000 0.0000 0.5000
Cd: 0.4961 0.2186 0.7819
Cd: 0.5000 0.0000 0.5000
Cd: 0.9907 0.6466 0.3590
Cd: 0.6504 0.3534 0.3590
Cd: 0.2780 0.2186 0.2181
Na: 0.5000 0.5000 0.0000
Cd: 0.0093 0.3534 0.6410
Cd: 0.5039 0.7814 0.2181
Cd: 0.3496 0.6466 0.6410
Cd: 0.7220 0.7814 0.7819

# 9
The following is a DFT calculation (GGA-PBE) of crystalline Ba4NaCd5 at its relaxed geometry.

Summary:
The calculation puts the total moment at 0.00 Bohr magnetons per cell. The space-group type is P4/mmm, No. 123. The value obtained for the raw total energy is -1.620 eV/atom.

abc: 4.1896 4.1896 20.7467
angles: 90.00 90.00 90.00
Fractional coordinates of all 10 atoms:
Cd: 0.5000 0.5000 0.2895
Na: 0.0000 0.0000 0.0000
Ba: 0.0000 0.0000 0.8150
Ba: 0.0000 0.0000 0.6046
Cd: 0.5000 0.5000 0.7105
Cd: 0.5000 0.5000 0.0751
Cd: 0.5000 0.5000 0.9249
Ba: 0.0000 0.0000 0.3954
Cd: 0.5000 0.5000 0.5000
Ba: 0.0000 0.0000 0.1850

# 10
The following is a DFT calculation (GGA-PBE) of crystalline Ba3Na2Cd at its relaxed geometry.

Summary:
The calculation puts the total moment at 0.00 Bohr magnetons per cell. The space-group type is P4/mmm, No. 123. The value obtained for the raw total energy is -1.670 eV/atom. The calculation puts the energy above the lowest structure with this stoichiometry at 0 meV per atom.

abc: 4.3351 4.3351 14.8897
angles: 90.00 90.00 90.00
Fractional coordinates of all 6 atoms:
Ba: 0.0000 0.0000 0.3638
Cd: 0.5000 0.5000 0.5000
Na: 0.5000 0.5000 0.8193
Ba: 0.0000 0.0000 0.6362
Ba: 0.0000 0.0000 0.0000
Na: 0.5000 0.5000 0.1807

# 11
The following is a DFT calculation (GGA-PBE) of crystalline BaNaCd2 at its relaxed geometry.

Summary:
The calculation puts the total moment at 0.00 Bohr magnetons per cell. The space-group type is P2_1/m, No. 11. The value obtained for the raw total energy is -1.415 eV/atom.

abc: 5.3348 6.5987 8.6646
angles: 90.00 90.00 113.69
Fractional coordinates of all 8 atoms:
Cd: 0.2451 0.4903 0.0823
Cd: 0.7549 0.5097 0.9177
Na: 0.8712 0.7409 0.2500
Ba: 0.4237 0.8481 0.7500
Cd: 0.7549 0.5097 0.5823
Cd: 0.2451 0.4903 0.4177
Na: 0.1288 0.2591 0.7500
Ba: 0.5763 0.1519 0.2500

# 12
The following is a DFT calculation (GGA-PBE) of crystalline Ba4NaCd2 at its relaxed geometry.

Summary:
The calculation puts the total moment at 0.00 Bohr magnetons per cell. The space-group type is R-3m, No. 166. The value obtained for the raw total energy is -1.638 eV/atom. The calculation puts the energy above the lowest structure with this stoichiometry at 37 meV per atom.

abc: 6.0172 6.0172 11.4028
angles: 74.70 74.70 60.00
Fractional coordinates of all 7 atoms:
Ba: 0.2951 0.2951 0.1147
Ba: 0.8854 0.8854 0.3439
Na: 0.5000 0.5000 0.5000
Cd: 0.5942 0.5942 0.2175
Ba: 0.1146 0.1146 0.6561
Ba: 0.7049 0.7049 0.8853
Cd: 0.4058 0.4058 0.7825

# 13
The following is a DFT calculation (GGA-PBE) of crystalline BaNa2Cd3 at its relaxed geometry.

Summary:
The calculation puts the total moment at 0.00 Bohr magnetons per cell. The space-group type is Cmcm, No. 63. The value obtained for the raw total energy is -1.365 eV/atom.

abc: 6.0651 8.0092 8.0092
angles: 86.86 90.00 90.00
Fractional coordinates of all 12 atoms:
Na: 0.5000 0.7366 0.2634
Cd: 0.7500 0.0609 0.0609
Cd: 0.2500 0.9294 0.5670
Cd: 0.7500 0.4330 0.0706
Cd: 0.7500 0.0706 0.4330
Cd: 0.2500 0.5670 0.9294
Ba: 0.7500 0.7568 0.7568
Ba: 0.2500 0.2432 0.2432
Na: 0.5000 0.2634 0.7366
Cd: 0.2500 0.9391 0.9391
Na: 0.0000 0.7366 0.2634
Na: 0.0000 0.2634 0.7366

# 14
The following is a DFT calculation (GGA-PBE) of crystalline BaNa3Cd3 at its relaxed geometry.

Summary:
The calculation puts the total moment at 0.00 Bohr magnetons per cell. The space-group type is Pm-3n, No. 223. The value obtained for the raw total energy is -1.063 eV/atom. The calculation puts the energy above the lowest structure with this stoichiometry at 307 meV per atom.

abc: 8.2645 8.2645 8.2645
angles: 90.00 90.00 90.00
Fractional coordinates of all 14 atoms:
Cd: 0.5000 0.2500 0.0000
Ba: 0.5000 0.5000 0.5000
Cd: 0.5000 0.7500 0.0000
Na: 0.5000 0.0000 0.2500
Na: 0.0000 0.7500 0.5000
Na: 0.7500 0.5000 0.0000
Na: 0.2500 0.5000 0.0000
Ba: 0.0000 0.0000 0.0000
Cd: 0.7500 0.0000 0.5000
Cd: 0.0000 0.5000 0.2500
Cd: 0.0000 0.5000 0.7500
Na: 0.0000 0.2500 0.5000
Cd: 0.2500 0.0000 0.5000
Na: 0.5000 0.0000 0.7500

# 15
The following is a DFT calculation (GGA-PBE) of crystalline BaNa2Cd at its relaxed geometry.

Summary:
The calculation puts the total moment at 0.00 Bohr magnetons per cell. The space-group type is R-3m, No. 166. The value obtained for the raw total energy is -1.225 eV/atom.

abc: 3.8280 3.8280 12.6501
angles: 81.30 81.30 60.00
Fractional coordinates of all 4 atoms:
Na: 0.8998 0.8998 0.3006
Ba: 0.0000 0.0000 0.0000
Cd: 0.5000 0.5000 0.5000
Na: 0.1002 0.1002 0.6994

# 16
The following is a DFT calculation (GGA-PBE) of crystalline BaNaCd at its relaxed geometry.

Summary:
The calculation puts the total moment at 0.00 Bohr magnetons per cell. The space-group type is P-1, No. 2. The value obtained for the raw total energy is -1.463 eV/atom. The calculation puts the energy above the lowest structure with this stoichiometry at 96 meV per atom.

abc: 5.2547 5.2590 10.7907
angles: 89.88 89.83 59.87
Fractional coordinates of all 6 atoms:
Ba: 0.6674 0.1671 0.3239
Na: 0.6660 0.1661 0.9404
Na: 0.3340 0.8339 0.0596
Cd: 0.9988 0.4994 0.8587
Ba: 0.3326 0.8329 0.6761
Cd: 0.0012 0.5006 0.1413

# 17
The following is a DFT calculation (GGA-PBE) of crystalline BaNa2Cd at its relaxed geometry.

Summary:
The calculation puts the total moment at 0.00 Bohr magnetons per cell. The space-group type is R3m, No. 160. The value obtained for the raw total energy is -1.450 eV/atom.

abc: 5.6219 5.6219 6.4254
angles: 64.06 64.06 60.00
Fractional coordinates of all 4 atoms:
Na: 0.2768 0.2768 0.1697
Ba: 0.4963 0.4963 0.5111
Na: 0.0095 0.0095 0.9714
Cd: 0.7174 0.7174 0.8478

# 18
The following is a DFT calculation (GGA-PBE) of crystalline BaNa7Cd5 at its relaxed geometry.

Summary:
The calculation puts the total moment at 0.00 Bohr magnetons per cell. The space-group type is Imm2, No. 44. The value obtained for the raw total energy is -1.324 eV/atom.

abc: 6.1892 8.4904 8.4904
angles: 81.83 68.62 68.62
Fractional coordinates of all 13 atoms:
Cd: 0.4940 0.9972 0.5144
Na: 0.4965 0.7920 0.2149
Na: 0.9913 0.6591 0.3583
Cd: 0.9944 0.5144 0.9972
Na: 0.3580 0.6420 0.6420
Na: 0.9913 0.3583 0.6591
Ba: 0.0273 0.9727 0.9727
Cd: 0.4940 0.5144 0.9972
Cd: 0.7161 0.7839 0.7839
Na: 0.2767 0.2233 0.2233
Na: 0.6694 0.3306 0.3306
Cd: 0.9944 0.9972 0.5144
Na: 0.4965 0.2149 0.7920

# 19
The following is a DFT calculation (GGA-PBE) of crystalline Ba3Na2Cd at its relaxed geometry.

Summary:
The calculation puts the total moment at 0.00 Bohr magnetons per cell. The space-group type is Cmmm, No. 65. The value obtained for the raw total energy is -1.667 eV/atom. The calculation puts the energy above the lowest structure with this stoichiometry at 3 meV per atom.

abc: 6.1970 9.8477 9.5236
angles: 90.00 90.00 71.66
Fractional coordinates of all 12 atoms:
Na: 0.0000 0.0000 0.0000
Na: 0.0000 0.0000 0.5000
Cd: 0.6602 0.6796 0.0000
Ba: 0.5000 0.0000 0.2279
Ba: 0.8257 0.3485 0.2160
Ba: 0.1742 0.6515 0.2160
Na: 0.6670 0.6661 0.5000
Na: 0.3330 0.3339 0.5000
Ba: 0.1743 0.6515 0.7840
Ba: 0.8258 0.3485 0.7840
Cd: 0.3398 0.3204 0.0000
Ba: 0.5000 0.0000 0.7721

# 20
The following is a DFT calculation (GGA-PBE) of crystalline Ba2NaCd at its relaxed geometry.

Summary:
The calculation puts the total moment at 0.00 Bohr magnetons per cell. The space-group type is I-42d, No. 122. The value obtained for the raw total energy is -1.471 eV/atom.

abc: 9.8039 9.8039 7.9946
angles: 52.18 52.18 90.00
Fractional coordinates of all 8 atoms:
Ba: 0.3750 0.3489 0.7500
Ba: 0.6511 0.1250 0.2500
Ba: 0.0989 0.6250 0.2500
Cd: 0.7500 0.2500 0.5000
Na: 0.5000 0.5000 0.0000
Na: 0.2500 0.7500 0.5000
Ba: 0.8750 0.9011 0.7500
Cd: 0.0000 0.0000 0.0000